# 1
Density functional theory data (SCAN) for a PBEsol-optimized structure of CdCoAu4.

Calculated values
Calculated volume ... 18.07 Å³ per atom
SG ... F-43m (216)
Size of the total moment ... 2.14 μB per formula unit
Uncorrected energy ... -53.92 eV per atom
Energy relative to the elements ... 140.0 meV/atom

```
CdCoAu4
1.0
-5.078 1.677 -0.225
-3.938 -3.507 -0.917
-3.415 -1.275 3.919
Au Cd Co
4 1 1
direct
0.375 0.375 0.876
0.375 0.876 0.375
0.876 0.375 0.375
0.375 0.375 0.375
0.750 0.750 0.750
0.000 0.000 0.000
```

=====

# 2
Density functional theory data (SCAN) for a PBEsol-optimized structure of Sc3As2.

Calculated values
Calculated volume ... 19.98 Å³ per atom
SG ... P4/m (83)
Size of the total moment ... 0.00 μB per formula unit
Uncorrected energy ... -17.86 eV per atom
Distance to the lowest polymorph of the same formula ... 0.0371 eV per atom
Energy relative to the elements ... -1238.3 meV/atom

```
Sc3As2
1.0
3.802 0.000 0.000
0.000 10.253 0.000
0.000 0.000 10.253
Sc As
12 8
direct
0.000 0.605 0.280
0.500 0.860 0.189
0.500 0.811 0.860
0.000 0.000 0.000
0.500 0.140 0.811
0.500 0.500 0.000
0.500 0.500 0.500
0.000 0.395 0.720
0.000 0.720 0.605
0.500 0.000 0.500
0.500 0.189 0.140
0.000 0.280 0.395
0.500 0.582 0.746
0.000 0.722 0.044
0.500 0.254 0.582
0.000 0.956 0.722
0.000 0.044 0.278
0.500 0.418 0.254
0.000 0.278 0.956
0.500 0.746 0.418
```

=====

# 3
Density functional theory data (SCAN) for a PBEsol-optimized structure of Ta4Mo.

Calculated values
Calculated volume ... 17.08 Å³ per atom
SG ... I4/mmm (139)
Size of the total moment ... 0.00 μB per formula unit
Uncorrected energy ... -60.33 eV per atom
Distance to the lowest polymorph of the same formula ... 0.0114 eV per atom
Energy relative to the elements ... -87.7 meV/atom

```
Ta4Mo
1.0
-1.797 -1.919 1.878
2.683 -1.382 1.154
-0.146 7.225 4.466
Ta Mo
4 1
direct
0.199 0.199 0.399
0.596 0.596 0.191
0.404 0.404 0.809
0.801 0.801 0.601
0.000 0.000 0.000
```

=====

# 4
Density functional theory data (SCAN) for a PBEsol-optimized structure of K2AuCl.

Calculated values
Calculated volume ... 32.80 Å³ per atom
SG ... R-3m (166)
Formation energy without anion corrections ... -1.2483 eV per atom
Size of the total moment ... 0.00 μB per formula unit
Uncorrected energy ... -24.70 eV per atom
Distance to the lowest polymorph of the same formula ... 0.0000 eV per atom

```
K2AuCl
1.0
4.462 0.000 0.000
2.231 3.865 0.000
2.231 1.288 7.608
Cl K Au
1 2 1
direct
0.500 0.500 0.500
0.756 0.756 0.733
0.244 0.244 0.267
0.000 0.000 0.000
```

=====

# 5
Density functional theory data (SCAN) for a PBEsol-optimized structure of Co.

Calculated values
Calculated volume ... 10.50 Å³ per atom
SG ... Im-3m (229)
Size of the total moment ... 1.90 μB per formula unit
Uncorrected energy ... -17.30 eV per atom
Distance to the lowest polymorph of the same formula ... 0.0000 eV per atom
Energy relative to the elements ... 0.0 meV/atom

```
Co
1.0
-1.887 -1.303 -0.670
1.534 -1.380 1.204
-0.728 1.793 1.402
Co
1
direct
0.000 0.000 0.000
```

=====

# 6
Density functional theory data (SCAN) for a PBEsol-optimized structure of Cr2Si.

Calculated values
Calculated volume ... 11.39 Å³ per atom
SG ... C2/m (12)
Formation energy without anion corrections ... -0.0799 eV per atom
Size of the total moment ... 0.00 μB per formula unit
Uncorrected energy ... -15.67 eV per atom

```
Cr2Si
1.0
2.907 0.000 0.000
-1.453 4.448 0.020
0.000 -2.042 5.276
Cr Si
4 2
direct
0.512 0.024 0.753
0.165 0.330 0.569
0.835 0.670 0.431
0.488 0.976 0.247
0.162 0.324 0.102
0.838 0.676 0.898
```

=====

> What is the size of the total moment in the second record?

0.00 μB per formula unit

=====

> The highest uncorrected energy belongs to which entry?

Cr2Si

=====

Copy entry 3 word for word.
Density functional theory data (SCAN) for a PBEsol-optimized structure of Ta4Mo.

Calculated values
Calculated volume ... 17.08 Å³ per atom
SG ... I4/mmm (139)
Size of the total moment ... 0.00 μB per formula unit
Uncorrected energy ... -60.33 eV per atom
Distance to the lowest polymorph of the same formula ... 0.0114 eV per atom
Energy relative to the elements ... -87.7 meV/atom

```
Ta4Mo
1.0
-1.797 -1.919 1.878
2.683 -1.382 1.154
-0.146 7.225 4.466
Ta Mo
4 1
direct
0.199 0.199 0.399
0.596 0.596 0.191
0.404 0.404 0.809
0.801 0.801 0.601
0.000 0.000 0.000
```

=====

> Among the records above, which one has the highest size of the total moment?

CdCoAu4